[1]
Compound: BaZnSi2
Source: the Alexandria database
Functional: PBE
Structure: relaxed

The structure in extended XYZ format:
```
4
Lattice="-3.044 -2.432 -5.128 -5.296 -3.295 -1.603 -5.469 0.600 -3.348" Properties=species:S:1:pos:R:3 pbc="T T T"
Ba -10.357 -3.846 -7.560
Si -7.522 -2.793 -5.490
Si -13.192 -4.898 -9.629
Zn -3.452 -1.282 -2.520
```

As for the space group: No. 166. For the total moment, the calculation gives 0.00 μB/cell. The calculation puts the uncorrected formation energy at -0.12 eV/atom. Its density of states at the Fermi level is 0.945 states/eV per cell. For the calculated total energy, the calculation gives -3.635 eV per atom.

[2]
Compound: Mn2CuOs
Source: the Alexandria database
Functional: PBE
Structure: relaxed

The structure in extended XYZ format:
```
4
Lattice="2.692 0.000 0.000 0.000 2.692 0.000 0.000 0.000 7.088" Properties=species:S:1:pos:R:3 pbc="T T T"
Mn 0.000 0.000 7.081
Mn 0.000 0.000 3.551
Cu 1.346 1.346 5.316
Os 1.346 1.346 1.772
```

As for the space group: No. 123. For the total moment, the calculation gives 4.51 μB/cell. Its density of states at the Fermi level is 4.681 states/eV per cell. The value obtained for the formation energy is 172 meV/atom. For the calculated total energy, the calculation gives -8.244 eV per atom.

[3]
Compound: TmTh2Al6
Source: the Alexandria database
Functional: PBE
Structure: relaxed

The structure in extended XYZ format:
```
9
Lattice="3.697 0.000 0.000 0.000 6.838 -3.948 0.000 0.000 7.896" Properties=species:S:1:pos:R:3 pbc="T T T"
Tm 0.000 0.000 7.896
Al 1.848 4.580 2.645
Al 1.848 0.000 5.289
Al 1.848 2.258 -1.304
Al 1.848 2.258 1.304
Al 1.848 4.580 -2.645
Al 1.848 0.000 2.607
Th 0.000 2.279 3.948
Th 0.000 4.559 0.000
```

As for the space group: No. 191. For the total moment, the calculation gives 0.00 μB/cell. Its density of states at the Fermi level is 4.167 states/eV per cell. The value obtained for the formation energy is -426 meV/atom. For the calculated total energy, the calculation gives -5.067 eV per atom.

[4]
Compound: Nb5Re4Os
Source: the Alexandria database
Functional: PBE
Structure: relaxed

The structure in extended XYZ format:
```
10
Lattice="3.202 0.000 0.000 0.000 3.202 0.000 0.000 0.000 16.021" Properties=species:S:1:pos:R:3 pbc="T T T"
Re 0.000 0.000 9.614
Re 0.000 0.000 6.407
Re 0.000 0.000 3.191
Re 0.000 0.000 12.830
Nb 1.601 1.601 11.209
Nb 1.601 1.601 8.011
Nb 1.601 1.601 1.633
Nb 1.601 1.601 4.812
Nb 1.601 1.601 14.389
Os 0.000 0.000 0.000
```

As for the space group: No. 123. For the total moment, the calculation gives 0.00 μB/cell. Its density of states at the Fermi level is 4.146 states/eV per cell. The value obtained for the formation energy is -255 meV/atom. For the calculated total energy, the calculation gives -11.392 eV per atom.

[5]
Compound: InTcHg2
Source: the Alexandria database
Functional: PBE
Structure: relaxed

The structure in extended XYZ format:
```
4
Lattice="-4.618 0.385 -5.963 -2.489 -1.311 -7.009 -2.321 -3.866 1.543" Properties=species:S:1:pos:R:3 pbc="T T T"
In -7.071 -3.594 -8.571
Hg -4.752 -1.510 -7.228
Hg -7.069 -1.811 -11.458
Tc -2.357 -1.198 -2.857
```

As for the space group: No. 65. For the total moment, the calculation gives 0.00 μB/cell. Its density of states at the Fermi level is 2.124 states/eV per cell. The value obtained for the formation energy is 250 meV/atom. For the calculated total energy, the calculation gives -3.177 eV per atom.

[6]
Compound: LiSmZnCu2
Source: the Alexandria database
Functional: PBE
Structure: relaxed

The structure in extended XYZ format:
```
5
Lattice="3.851 0.000 0.000 0.000 3.851 0.000 -1.926 -1.926 5.970" Properties=species:S:1:pos:R:3 pbc="T T T"
Sm 0.000 0.000 0.000
Li 1.926 0.000 2.985
Cu 0.000 0.000 4.716
Cu 1.926 1.926 1.254
Zn 0.000 1.926 2.985
```

As for the space group: No. 119. For the total moment, the calculation gives 0.00 μB/cell. Its density of states at the Fermi level is 2.842 states/eV per cell. The value obtained for the formation energy is -182 meV/atom. For the calculated total energy, the calculation gives -3.402 eV per atom.

[7]
Compound: Sr2Cd6GaAg
Source: the Alexandria database
Functional: PBE
Structure: relaxed

The structure in extended XYZ format:
```
20
Lattice="-3.976 -5.253 -4.483 5.651 -4.343 0.077 -3.408 -4.292 8.052" Properties=species:S:1:pos:R:3 pbc="T T T"
Ga 0.514 -4.549 -2.207
Ga 1.445 -4.566 4.069
Cd 3.361 -4.341 2.106
Cd 2.578 -3.561 -0.807
Cd 2.873 -7.163 3.289
Cd -1.402 -4.774 -0.245
Cd -0.914 -1.952 -1.427
Cd -2.349 -3.849 -3.046
Cd 0.114 -6.816 -3.585
Cd -2.131 -7.553 0.964
Cd 0.332 -10.520 0.425
Cd 1.687 -6.449 6.061
Cd -3.136 -6.958 3.853
Cd -0.619 -5.554 2.669
Sr 1.340 -6.969 -0.104
Sr -1.142 -4.363 6.126
Sr 0.619 -2.146 1.966
Sr -0.308 -9.044 3.788
Ag -3.329 -5.052 1.790
Ag 5.288 -4.064 0.072
```

As for the space group: No. 59. For the total moment, the calculation gives 0.00 μB/cell. Its density of states at the Fermi level is 10.226 states/eV per cell. The value obtained for the formation energy is -163 meV/atom. For the calculated total energy, the calculation gives -1.636 eV per atom.

[8]
Compound: Nd3In2Au
Source: the Alexandria database
Functional: PBE
Structure: relaxed

The structure in extended XYZ format:
```
6
Lattice="-2.469 0.911 -2.563 -2.534 -2.027 1.721 -3.347 9.911 6.747" Properties=species:S:1:pos:R:3 pbc="T T T"
Nd -1.170 3.463 2.358
Nd 0.000 0.000 0.000
Nd -2.178 6.448 4.389
In -3.087 1.174 0.759
In -5.264 7.620 5.147
Au -4.175 4.397 2.953
```

As for the space group: No. 123. For the total moment, the calculation gives 0.00 μB/cell. Its density of states at the Fermi level is 4.321 states/eV per cell. The value obtained for the formation energy is -580 meV/atom. For the calculated total energy, the calculation gives -4.423 eV per atom.

[9]
Compound: Cs2HAu
Source: the Alexandria database
Functional: PBE
Structure: relaxed

The structure in extended XYZ format:
```
4
Lattice="-3.090 -3.607 0.707 0.992 -4.371 -1.725 3.092 -4.546 6.619" Properties=species:S:1:pos:R:3 pbc="T T T"
Cs 0.874 -9.467 4.440
Cs 0.119 -3.058 1.160
H 0.000 0.000 0.000
Au 0.497 -6.262 2.800
```

As for the space group: No. 12. For the total moment, the calculation gives 0.00 μB/cell. Its density of states at the Fermi level is 0.000 states/eV per cell. For the calculated total energy, the calculation gives -2.311 eV per atom. Its energy above the most stable polymorph in this dataset is 7 meV per atom.

[10]
Compound: BaSrS2
Source: the Alexandria database
Functional: PBE
Structure: relaxed

The structure in extended XYZ format:
```
8
Lattice="6.907 0.000 0.000 0.000 6.907 0.000 3.453 3.453 6.792" Properties=species:S:1:pos:R:3 pbc="T T T"
S 5.180 5.318 5.094
S 8.633 8.496 5.094
S 1.865 5.180 1.698
S 5.042 1.727 1.698
Ba 6.907 3.453 3.396
Ba 0.000 0.000 0.000
Sr 3.453 6.907 3.396
Sr 3.453 3.453 0.000
```

As for the space group: No. 122. For the total moment, the calculation gives 0.00 μB/cell. The calculation puts the uncorrected formation energy at -1.86 eV/atom. Its density of states at the Fermi level is 0.000 states/eV per cell. For the calculated total energy, the calculation gives -4.829 eV per atom. Its energy above the most stable polymorph in this dataset is 239 meV per atom.

[11]
Compound: BaSc
Source: the Alexandria database
Functional: PBE
Structure: relaxed

The structure in extended XYZ format:
```
8
Lattice="7.026 0.000 0.000 0.000 7.026 0.000 0.000 0.000 7.035" Properties=species:S:1:pos:R:3 pbc="T T T"
Ba 2.251 4.775 3.517
Ba 1.262 1.262 0.000
Ba 4.775 2.251 3.517
Ba 5.764 5.764 0.000
Sc 4.589 2.437 0.000
Sc 1.076 1.076 3.517
Sc 5.950 5.950 3.517
Sc 2.437 4.589 0.000
```

As for the space group: No. 136. For the total moment, the calculation gives 4.11 μB/cell. Its density of states at the Fermi level is 13.253 states/eV per cell. The value obtained for the formation energy is 746 meV/atom. For the calculated total energy, the calculation gives -3.381 eV per atom. Its energy above the most stable polymorph in this dataset is 510 meV per atom.

[12]
Compound: TbPm2GeC
Source: the Alexandria database
Functional: PBE
Structure: relaxed

The structure in extended XYZ format:
```
10
Lattice="3.733 0.000 0.000 -1.866 8.545 0.000 0.000 0.000 7.611" Properties=species:S:1:pos:R:3 pbc="T T T"
Pm 0.000 2.497 3.613
Pm 1.866 6.048 3.998
Pm 0.000 2.497 0.192
Pm 1.866 6.048 7.419
Tb 0.000 8.378 1.903
Tb 1.866 0.167 5.708
Ge 1.866 3.371 5.708
Ge 0.000 5.174 1.903
C 0.000 0.000 0.000
C 0.000 0.000 3.806
```

As for the space group: No. 63. For the total moment, the calculation gives 0.00 μB/cell. Its density of states at the Fermi level is 7.830 states/eV per cell. The value obtained for the formation energy is -299 meV/atom. For the calculated total energy, the calculation gives -5.893 eV per atom.